VASP calculation (PBE) on ZnI2 after structural relaxation.

Lattice parameters (Å, degrees): 10.607 3.977 11.321 90.00 90.00 90.00
Atoms (fractional coordinates):
1 Zn 0.654 0.750 0.013
2 I 0.321 0.250 0.524
3 Zn 0.154 0.750 0.487
4 I 0.484 0.750 0.839
5 I 0.179 0.750 0.024
6 I 0.016 0.250 0.339
7 Zn 0.346 0.250 0.987
8 I 0.821 0.250 0.976
9 I 0.984 0.750 0.661
10 I 0.516 0.250 0.161
11 I 0.679 0.750 0.476
12 Zn 0.846 0.250 0.513

Values from the calculation:
As for the crystal system: orthorhombic. The space group is Pnma, No. 62. The electronic total energy comes out at -1.923 eV/atom.